Entry from Alexandria via LeMat-Bulk: YScB12 after structural relaxation (PBE-GGA).

The total energy comes out at -97.18 eV per cell. As for the crystal system: tetragonal. The volume is 137 Å³/cell.

The structure belongs to space group P4/mmm (No. 123); the cell edges are 4.0881, 4.0881 and 8.1749 Å and the angles 90.00°, 90.00° and 90.00°. The distinct sites, in fractional coordinates, are Y at (0.0000, 0.0000, 0.0000), Sc at (0.0000, 0.0000, 0.5000), B at (0.1989, 0.5000, 0.2512), B at (0.5000, 0.5000, 0.0999) and B at (0.5000, 0.5000, 0.4011).


Entry from Alexandria via LeMat-Bulk: CaFe2Ni after structural relaxation (PBE-GGA).

The total energy comes out at -23.63 eV per cell. As for the crystal system: tetragonal. The volume is 64 Å³/cell.

The structure belongs to space group P4mm (No. 99); the cell edges are 3.1034, 3.1034 and 6.6083 Å and the angles 90.00°, 90.00° and 90.00°. The distinct sites, in fractional coordinates, are Ca at (0.0000, 0.0000, 0.0000), Fe at (0.0000, 0.0000, 0.5049), Fe at (0.5000, 0.5000, 0.3300) and Ni at (0.5000, 0.5000, 0.6958).


Entry from Alexandria via LeMat-Bulk: GdLuMnAl after structural relaxation (PBE-GGA).

The total energy comes out at -127.48 eV per cell. As for the crystal system: cubic. The volume is 362 Å³/cell.

The structure belongs to space group F-43m (No. 216); the cell edges are 7.1265, 7.1265 and 7.1265 Å and the angles 90.00°, 90.00° and 90.00°. The distinct sites, in fractional coordinates, are Gd at (0.0000, 0.0000, 0.0000), Lu at (0.0000, 0.0000, 0.5000), Mn at (0.2500, 0.2500, 0.2500) and Al at (0.2500, 0.2500, 0.7500).


Number 1: ΔH_f (0 K) -304 meV per atom. Number 2: ΔH_f (0 K) 270 meV per atom. Number 3: ΔH_f (0 K) -89 meV per atom.